## CaFeGeO4 (GGA+U)

Data for crystalline CaFeGeO4 at its relaxed geometry.

Results
The space group is Imma, No. 74. As for the theoretical density: 4.54 g/cm3. The calculation puts the magnetic moment at 8.02 μB/cell. Its total energy is -6.578 eV per atom.

Unit cell a=6.2061 b=6.2061 c=6.2061 alpha=119.71 beta=119.33 gamma=90.84
Positions (direct):
Ca: 0.5000 0.0000 0.0000
Ca: 0.5000 0.5000 0.5000
Fe: 0.0000 0.0000 0.0000
Fe: 0.5000 0.0000 0.5000
Ge: 0.1153 0.3653 0.7500
Ge: 0.8847 0.6347 0.2500
O: 0.2275 0.2453 0.9823
O: 0.2345 0.2445 0.5100
O: 0.2345 0.7244 0.9900
O: 0.2370 0.7547 0.4823
O: 0.7630 0.2453 0.5177
O: 0.7655 0.2756 0.0100
O: 0.7655 0.7555 0.4900
O: 0.7725 0.7547 0.0177